{"formula": "RbAsPdO", "functional": "PBE", "state": "relaxed", "spacegroup": "Pmc2_1 (26)", "final_energy_ev_per_fu": -17.02, "lattice": [[-3.7859, 0.0903, 0.2077], [-0.3719, -5.3650, -4.4470], [0.2002, -4.7514, 5.7155]], "species": ["As", "As", "O", "O", "Pd", "Pd", "Rb", "Rb"], "frac_coords": [[0.0000, 0.9167, 0.2716], [0.0000, 0.0833, 0.7716], [0.5000, 0.2810, 0.4447], [0.5000, 0.7190, 0.9447], [0.0000, 0.1921, 0.4616], [0.0000, 0.8079, 0.9616], [0.5000, 0.3448, 0.0760], [0.5000, 0.6552, 0.5760]]}